# Rb3TcB, relaxed, DFT PBE
data_Rb3TcB
_chemical_formula_sum 'Rb3 Tc1 B1'
_symmetry_space_group_name_H-M 'P m -3 m'
_symmetry_Int_Tables_number 221
_symmetry_space_group_name_Hall '-P 4 2 3'
_cell_length_a 6.315
_cell_length_b 6.315
_cell_length_c 6.315
_cell_angle_alpha 90.00
_cell_angle_beta 90.00
_cell_angle_gamma 90.00
loop_
_atom_site_label
_atom_site_type_symbol
_atom_site_fract_x
_atom_site_fract_y
_atom_site_fract_z
_atom_site_occupancy
Rb1 Rb 0.000 0.000 0.500 1
Tc1 Tc 0.500 0.500 0.500 1
B1 B 0.000 0.000 0.000 1
# Formation energy: 1.80 eV per atom
# Uncorrected energy: -2.192 eV/atom


# TiBi3F, relaxed, DFT PBE
data_TiBi3F
_chemical_formula_sum 'Ti1 Bi3 F1'
_symmetry_space_group_name_H-M 'P m -3 m'
_symmetry_Int_Tables_number 221
_symmetry_space_group_name_Hall '-P 4 2 3'
_cell_length_a 5.313
_cell_length_b 5.313
_cell_length_c 5.313
_cell_angle_alpha 90.00
_cell_angle_beta 90.00
_cell_angle_gamma 90.00
loop_
_atom_site_label
_atom_site_type_symbol
_atom_site_fract_x
_atom_site_fract_y
_atom_site_fract_z
_atom_site_occupancy
Ti1 Ti 0.000 0.000 0.000 1
Bi1 Bi 0.000 0.000 0.500 1
F1 F 0.500 0.500 0.500 1
# ΔE_f (raw): -206 meV/atom
# Uncorrected energy: -4.488 eV/atom


# TiTc2W, relaxed, DFT PBE
data_TiTc2W
_chemical_formula_sum 'Ti4 Tc8 W4'
_symmetry_space_group_name_H-M 'I -4 2 d'
_symmetry_Int_Tables_number 122
_symmetry_space_group_name_Hall 'I -4 2bw'
_cell_length_a 7.000
_cell_length_b 7.000
_cell_length_c 5.379
_cell_angle_alpha 90.00
_cell_angle_beta 90.00
_cell_angle_gamma 90.00
loop_
_atom_site_label
_atom_site_type_symbol
_atom_site_fract_x
_atom_site_fract_y
_atom_site_fract_z
_atom_site_occupancy
Ti1 Ti 0.000 0.000 0.000 1
Tc1 Tc 0.242 0.250 0.625 1
W1 W 0.000 0.000 0.500 1
# Formation energy: 0.53 eV per atom
# Uncorrected energy: -9.862 eV/atom


# CsC3O, relaxed, DFT PBE
data_CsC3O
_chemical_formula_sum 'Cs1 C3 O1'
_symmetry_space_group_name_H-M 'P m -3 m'
_symmetry_Int_Tables_number 221
_symmetry_space_group_name_Hall '-P 4 2 3'
_cell_length_a 5.653
_cell_length_b 5.653
_cell_length_c 5.653
_cell_angle_alpha 90.00
_cell_angle_beta 90.00
_cell_angle_gamma 90.00
loop_
_atom_site_label
_atom_site_type_symbol
_atom_site_fract_x
_atom_site_fract_y
_atom_site_fract_z
_atom_site_occupancy
Cs1 Cs 0.000 0.000 0.000 1
C1 C 0.000 0.000 0.500 1
O1 O 0.500 0.500 0.500 1
# ΔE_f (raw): 4611 meV/atom
# Uncorrected energy: -2.086 eV/atom


# Ac12Pm5Nd2, relaxed, DFT PBE
data_Ac12Pm5Nd2
_chemical_formula_sum 'Ac24 Pm10 Nd4'
_symmetry_space_group_name_H-M 'C 1 2/m 1'
_symmetry_Int_Tables_number 12
_symmetry_space_group_name_Hall '-C 2y'
_cell_length_a 14.973
_cell_length_b 11.794
_cell_length_c 9.153
_cell_angle_alpha 90.00
_cell_angle_beta 99.15
_cell_angle_gamma 90.00
loop_
_atom_site_label
_atom_site_type_symbol
_atom_site_fract_x
_atom_site_fract_y
_atom_site_fract_z
_atom_site_occupancy
Ac1 Ac 0.078 0.000 0.215 1
Ac2 Ac 0.109 0.233 0.888 1
Ac3 Ac 0.133 0.500 0.625 1
Ac4 Ac 0.179 0.296 0.304 1
Pm1 Pm 0.000 0.500 0.000 1
Pm2 Pm 0.142 0.000 0.623 1
Pm3 Pm 0.231 0.500 0.019 1
Nd1 Nd 0.000 0.221 0.500 1
# Formation energy: 0.12 eV per atom
# Uncorrected energy: -4.223 eV/atom


# Pm2YGa6, relaxed, DFT PBE
data_Pm2YGa6
_chemical_formula_sum 'Pm2 Y1 Ga6'
_symmetry_space_group_name_H-M 'P 6/m m m'
_symmetry_Int_Tables_number 191
_symmetry_space_group_name_Hall '-P 6 2'
_cell_length_a 7.3510
_cell_length_b 7.3510
_cell_length_c 4.2238
_cell_angle_alpha 90.00
_cell_angle_beta 90.00
_cell_angle_gamma 120.00
loop_
_atom_site_label
_atom_site_type_symbol
_atom_site_fract_x
_atom_site_fract_y
_atom_site_fract_z
_atom_site_occupancy
Pm1 Pm 0.3333 0.6667 0.0000 1
Y1 Y 0.0000 0.0000 0.0000 1
Ga1 Ga 0.0000 0.3325 0.5000 1
# Formation energy: -0.68 eV per atom
# Uncorrected energy: -4.467 eV/atom


# Ta2BOs, relaxed, DFT PBE
data_Ta2BOs
_chemical_formula_sum 'Ta8 B4 Os4'
_symmetry_space_group_name_H-M 'I -4 2 d'
_symmetry_Int_Tables_number 122
_symmetry_space_group_name_Hall 'I -4 2bw'
_cell_length_a 7.657
_cell_length_b 7.657
_cell_length_c 4.324
_cell_angle_alpha 90.00
_cell_angle_beta 90.00
_cell_angle_gamma 90.00
loop_
_atom_site_label
_atom_site_type_symbol
_atom_site_fract_x
_atom_site_fract_y
_atom_site_fract_z
_atom_site_occupancy
Ta1 Ta 0.128 0.750 0.125 1
B1 B 0.000 0.000 0.000 1
Os1 Os 0.000 0.000 0.500 1
# Formation energy: 0.20 eV per atom
# Uncorrected energy: -10.205 eV/atom


# CeTiCuTc, relaxed, DFT PBE
data_CeTiCuTc
_chemical_formula_sum 'Ce4 Ti4 Cu4 Tc4'
_symmetry_space_group_name_H-M 'F -4 3 m'
_symmetry_Int_Tables_number 216
_symmetry_space_group_name_Hall 'F -4 2 3'
_cell_length_a 6.578
_cell_length_b 6.578
_cell_length_c 6.578
_cell_angle_alpha 90.00
_cell_angle_beta 90.00
_cell_angle_gamma 90.00
loop_
_atom_site_label
_atom_site_type_symbol
_atom_site_fract_x
_atom_site_fract_y
_atom_site_fract_z
_atom_site_occupancy
Ce1 Ce 0.000 0.000 0.000 1
Ti1 Ti 0.000 0.000 0.500 1
Cu1 Cu 0.250 0.250 0.750 1
Tc1 Tc 0.250 0.250 0.250 1
# Formation energy: -0.03 eV per atom
# Uncorrected energy: -7.102 eV/atom